The following is a DFT calculation (PBE) of a geometry-optimized Tm2PaIr3 structure.

a b c (Å): 4.8395 4.8395 5.9668
angles (deg): 90.00 90.00 120.00
With the nearest neighbours (Å) after each atom.
Element x y z (fractional)
Ir 0.6667 0.3333 0.8654  5 Tm 2.87-3.09, 3 Pa 2.91
Ir 0.3333 0.6667 0.1346  5 Tm 2.87-3.09, 3 Pa 2.91
Ir 0.0000 0.0000 0.5000  6 Tm 2.94, 2 Pa 2.98
Tm 0.6667 0.3333 0.3471  8 Ir 2.87-3.09
Tm 0.3333 0.6667 0.6529  8 Ir 2.87-3.09
Pa 0.0000 0.0000 0.0000  8 Ir 2.91-2.98

Results
The formation energy comes out at -82.3 kJ/mol of atoms.

The following is a DFT calculation (PBE) of a geometry-optimized TmPaIr2 structure.

a b c (Å): 5.5344 5.5452 11.2862
angles (deg): 90.00 102.00 90.00
With the nearest neighbours (Å) after each atom.
Element x y z (fractional)
Pa 0.5486 0.8627 0.3619  6 Ir 2.78-3.04
Pa 0.0486 0.1373 0.8619  6 Ir 2.78-3.04
Pa 0.4514 0.1373 0.6381  6 Ir 2.78-3.04
Pa 0.9514 0.8627 0.1381  6 Ir 2.78-3.04
Ir 0.0622 0.8691 0.3971  3 Pa 2.79-2.86, 2 Tm 2.81-2.82, 2 Ir 2.90-2.94
Ir 0.5622 0.1309 0.8971  3 Pa 2.79-2.86, 2 Tm 2.81-2.82, 2 Ir 2.90-2.94
Ir 0.4225 0.6461 0.5887  3 Pa 2.78-3.04, 3 Tm 2.83-2.93, 2 Ir 2.84-2.90
Ir 0.5775 0.3539 0.4113  3 Pa 2.78-3.04, 3 Tm 2.83-2.93, 2 Ir 2.84-2.90
Ir 0.9225 0.3539 0.0887  3 Pa 2.78-3.04, 3 Tm 2.83-2.93, 2 Ir 2.84-2.90
Ir 0.0775 0.6461 0.9113  3 Pa 2.78-3.04, 3 Tm 2.83-2.93, 2 Ir 2.84-2.90
Ir 0.4378 0.8691 0.1029  3 Pa 2.79-2.86, 2 Tm 2.81-2.82, 2 Ir 2.90-2.94
Ir 0.9378 0.1309 0.6029  3 Pa 2.79-2.86, 2 Tm 2.81-2.82, 2 Ir 2.90-2.94
Tm 0.5510 0.6324 0.8538  5 Ir 2.81-2.93
Tm 0.4490 0.3676 0.1462  5 Ir 2.81-2.93
Tm 0.0510 0.3676 0.3538  5 Ir 2.81-2.93
Tm 0.9490 0.6324 0.6462  5 Ir 2.81-2.93

Results
For the energy relative to the lowest polymorph listed for this composition, the calculation gives 0.000 eV/atom. The formation energy comes out at -88.1 kJ/mol of atoms.

The following is a DFT calculation (PBE) of a geometry-optimized TmPaIr structure.

a b c (Å): 3.5653 3.5653 5.9370
angles (deg): 107.47 107.47 90.00
With the nearest neighbours (Å) after each atom.
Element x y z (fractional)
Ir 0.6858 0.6858 0.3715  4 Pa 2.83, 4 Tm 3.16
Tm 0.0087 0.0087 0.0174  5 Ir 3.16-3.47, 5 Pa 3.19-3.34
Pa 0.3056 0.3056 0.6111  4 Ir 2.83

Results
For the energy relative to the lowest polymorph listed for this composition, the calculation gives 0.000 eV/atom. The formation energy comes out at -49.9 kJ/mol of atoms.

The following is a DFT calculation (PBE) of a geometry-optimized TmPaIr structure.

a b c (Å): 3.7015 4.6165 4.6165
angles (deg): 120.00 90.00 90.00
With the nearest neighbours (Å) after each atom.
Element x y z (fractional)
Tm 0.7026 0.6667 0.3333  3 Ir 2.91, 3 Pa 3.09
Ir 0.0166 0.0000 0.0000  3 Pa 2.84, 3 Tm 2.91
Pa 0.2808 0.3333 0.6667  3 Ir 2.84, 3 Tm 3.09

Results
For the energy relative to the lowest polymorph listed for this composition, the calculation gives 0.261 eV/atom. The formation energy comes out at -24.7 kJ/mol of atoms.

The following is a DFT calculation (PBE) of a geometry-optimized TmPaIr structure.

a b c (Å): 4.7711 4.7711 4.7711
angles (deg): 60.00 60.00 60.00
With the nearest neighbours (Å) after each atom.
Element x y z (fractional)
Pa 0.5000 0.5000 0.5000  4 Ir 2.92
Tm 0.0000 0.0000 0.0000  4 Ir 2.92
Ir 0.2500 0.2500 0.2500  4 Pa 2.92, 4 Tm 2.92

Results
For the energy relative to the lowest polymorph listed for this composition, the calculation gives 0.122 eV/atom. The formation energy comes out at -38.1 kJ/mol of atoms.

The following is a DFT calculation (PBE) of a geometry-optimized TmPaIr2 structure.

a b c (Å): 4.8613 4.8613 4.8613
angles (deg): 60.00 60.00 60.00
With the nearest neighbours (Å) after each atom.
Element x y z (fractional)
Ir 0.2500 0.2500 0.2500  4 Pa 2.98, 4 Tm 2.98
Ir 0.7500 0.7500 0.7500  4 Tm 2.98, 4 Pa 2.98
Pa 0.0000 0.0000 0.0000  8 Ir 2.98
Tm 0.5000 0.5000 0.5000  8 Ir 2.98

Results
For the energy relative to the lowest polymorph listed for this composition, the calculation gives 0.161 eV/atom. The formation energy comes out at -72.5 kJ/mol of atoms.

The following is a DFT calculation (PBE) of a geometry-optimized Tm5PaIr4 structure.

a b c (Å): 4.0975 7.4496 9.2147
angles (deg): 113.83 102.85 90.00
With the nearest neighbours (Å) after each atom.
Element x y z (fractional)
Pa 0.5000 0.0000 0.0000  4 Ir 2.76
Tm 0.8329 0.5895 0.6659  4 Ir 2.73-2.96
Tm 0.5000 0.5000 0.0000  4 Ir 2.78
Tm 0.1671 0.4105 0.3341  4 Ir 2.73-2.96
Tm 0.1670 0.9226 0.3339  4 Ir 2.73-2.95
Tm 0.8330 0.0774 0.6661  4 Ir 2.73-2.95
Ir 0.3048 0.8052 0.6096  6 Tm 2.78-2.96
Ir 0.6952 0.1948 0.3904  6 Tm 2.78-2.96
Ir 0.9999 0.7523 0.9998  4 Tm 2.73-2.78, 2 Pa 2.76
Ir 0.0001 0.2477 0.0002  4 Tm 2.73-2.78, 2 Pa 2.76

Results
The formation energy comes out at -73.1 kJ/mol of atoms.

The following is a DFT calculation (PBE) of a geometry-optimized TmPaZnIr structure.

a b c (Å): 4.9185 4.9185 4.9185
angles (deg): 60.00 60.00 60.00
With the nearest neighbours (Å) after each atom.
Element x y z (fractional)
Pa 0.7500 0.7500 0.7500  4 Ir 3.01, 4 Zn 3.01
Zn 0.0000 0.0000 0.0000  4 Pa 3.01, 4 Tm 3.01
Ir 0.5000 0.5000 0.5000  4 Tm 3.01, 4 Pa 3.01
Tm 0.2500 0.2500 0.2500  4 Ir 3.01, 4 Zn 3.01

Results
The formation energy comes out at -40.8 kJ/mol of atoms.

The following is a DFT calculation (PBE) of a geometry-optimized UPa2Ir structure.

a b c (Å): 3.1251 5.1854 5.1854
angles (deg): 90.00 90.00 90.00
With the nearest neighbours (Å) after each atom.
Element x y z (fractional)
Pa 0.0000 0.5000 0.0000  4 U 3.03, 4 Ir 3.03, 2 Pa 3.13
Pa 0.0000 0.0000 0.5000  4 U 3.03, 4 Ir 3.03, 2 Pa 3.13
U 0.5000 0.5000 0.5000  8 Pa 3.03, 2 U 3.13
Ir 0.5000 0.0000 0.0000  8 Pa 3.03, 2 Ir 3.13

Results
For the energy relative to the lowest polymorph listed for this composition, the calculation gives 0.000 eV/atom. The formation energy comes out at -32.0 kJ/mol of atoms.

The following is a DFT calculation (PBE) of a geometry-optimized UPaIr4 structure.

a b c (Å): 5.3397 5.3397 5.3397
angles (deg): 60.00 60.00 60.00
With the nearest neighbours (Å) after each atom.
Element x y z (fractional)
Ir 0.6247 0.1258 0.6247  6 Ir 2.66-2.68
Ir 0.6247 0.6247 0.1258  6 Ir 2.66-2.68
Ir 0.6247 0.6247 0.6247  6 Ir 2.66-2.68
Ir 0.1258 0.6247 0.6247  6 Ir 2.66-2.68
Pa 0.0000 0.0000 0.0000  12 Ir 3.13, 4 U 3.27
U 0.2500 0.2500 0.2500  12 Ir 3.13, 4 Pa 3.27

Results
The formation energy comes out at -65.3 kJ/mol of atoms.

The following is a DFT calculation (PBE) of a geometry-optimized UPa2Ir structure.

a b c (Å): 3.0002 3.0002 10.7545
angles (deg): 81.98 81.98 60.00
With the nearest neighbours (Å) after each atom.
Element x y z (fractional)
Ir 0.5000 0.5000 0.5000  6 Pa 2.99, 6 Ir 3.00
U 0.0000 0.0000 0.0000  2 Pa 2.87, 6 U 3.00
Pa 0.9100 0.9100 0.2701  1 U 2.87, 3 Ir 2.99, 6 Pa 3.00
Pa 0.0900 0.0900 0.7299  1 U 2.87, 3 Ir 2.99, 6 Pa 3.00

Results
For the energy relative to the lowest polymorph listed for this composition, the calculation gives 0.408 eV/atom. The formation energy comes out at 7.4 kJ/mol of atoms.

The following is a DFT calculation (PBE) of a geometry-optimized UPa2Ir structure.

a b c (Å): 3.5540 3.5540 6.7915
angles (deg): 90.00 90.00 90.00
With the nearest neighbours (Å) after each atom.
Element x y z (fractional)
Pa 0.0000 0.0000 0.2416  4 Ir 3.00, 4 U 3.07, 1 Pa 3.28
Pa 0.0000 0.0000 0.7584  4 Ir 3.00, 4 U 3.07, 1 Pa 3.28
Ir 0.5000 0.5000 0.0000  8 Pa 3.00
U 0.5000 0.5000 0.5000  8 Pa 3.07, 2 Ir 3.40

Results
For the energy relative to the lowest polymorph listed for this composition, the calculation gives 0.102 eV/atom. The formation energy comes out at -22.2 kJ/mol of atoms.

Result set for magnetization: 0.0 0.0 0.0 0.0 0.0 0.0 0.0 0.0 0.0 1.5 0.0 1.4 Bohr magnetons per cell, one per record in the order listed.
Result set for Fermi-level density of states: 3.857 12.352 3.655 3.913 5.251 5.597 4.765 6.052 7.940 4.704 8.887 8.964 states/eV/cell, one per record in the order listed.